Record 1
## PrTlCu (PBE)

Data for a geometry-optimized PrTlCu structure.

The density of states at the Fermi level is 2.25 states/eV/f.u. As for the uncorrected energy: -3.9940 eV per atom. The total magnetization comes out at 0.0 μB per formula unit.

Cell lengths 13.6969, 4.0731, 7.7828 Å; angles 90.00, 90.00, 90.00 degrees
With the nearest neighbours (Å) after each atom.
Sites, in units of the cell vectors:
Pr: 0.0458 0.0000 0.2399  5 Cu 3.09-3.22, 2 Tl 3.40
Pr: 0.2500 0.0000 0.8578  5 Cu 3.11-3.20, 6 Tl 3.32-3.45
Pr: 0.4542 0.0000 0.2399  5 Cu 3.09-3.22, 2 Tl 3.40
Pr: 0.5458 0.0000 0.7601  5 Cu 3.09-3.22, 2 Tl 3.40
Pr: 0.7500 0.0000 0.1422  5 Cu 3.11-3.20, 6 Tl 3.32-3.45
Pr: 0.9542 0.0000 0.7601  5 Cu 3.09-3.22, 2 Tl 3.40
Tl: 0.1234 0.5000 0.5778  3 Cu 2.86-2.94
Tl: 0.2500 0.5000 0.1943  4 Cu 2.83-2.94
Tl: 0.3766 0.5000 0.5778  3 Cu 2.86-2.94
Tl: 0.6234 0.5000 0.4222  3 Cu 2.86-2.94
Tl: 0.7500 0.5000 0.8057  4 Cu 2.83-2.94
Tl: 0.8766 0.5000 0.4222  3 Cu 2.86-2.94
Cu: 0.0869 0.5000 0.9497  1 Cu 2.51
Cu: 0.2500 0.0000 0.4461  6 Tl 2.83-2.86
Cu: 0.4131 0.5000 0.9497  1 Cu 2.51
Cu: 0.5869 0.5000 0.0503  1 Cu 2.51
Cu: 0.7500 0.0000 0.5539  6 Tl 2.83-2.86
Cu: 0.9131 0.5000 0.0503  1 Cu 2.51


Record 2
## Pr4CdOs (PBE)

Data for a geometry-optimized Pr4CdOs structure.

The density of states at the Fermi level is 7.26 states/eV/f.u. As for the uncorrected energy: -5.3585 eV per atom. The polymorph energy (0 for the lowest one) comes out at 37 meV/atom. The total magnetization comes out at 0.0 μB per formula unit.

Cell lengths 8.0988, 8.0988, 6.3780 Å; angles 99.53, 99.53, 112.35 degrees
With the nearest neighbours (Å) after each atom.
Sites, in units of the cell vectors:
Pr: 0.0600 0.7214 0.9535  2 Os 2.93-2.94
Pr: 0.2017 0.3613 0.6060  2 Os 3.05-3.14, 1 Cd 3.32
Pr: 0.2786 0.9400 0.5465  2 Os 2.93-2.94
Pr: 0.3613 0.2017 0.1060  2 Os 3.05-3.14, 1 Cd 3.32
Pr: 0.6387 0.7983 0.8940  2 Os 3.05-3.14, 1 Cd 3.32
Pr: 0.7214 0.0600 0.4535  2 Os 2.93-2.94
Pr: 0.7983 0.6387 0.3940  2 Os 3.05-3.14, 1 Cd 3.32
Pr: 0.9400 0.2786 0.0465  2 Os 2.93-2.94
Cd: 0.3779 0.6221 0.2500  8 Pr 3.32-3.47
Cd: 0.6221 0.3779 0.7500  8 Pr 3.32-3.47
Os: 0.9998 0.0002 0.2500  8 Pr 2.93-3.14, 2 Os 3.19
Os: 0.0002 0.9998 0.7500  8 Pr 2.93-3.14, 2 Os 3.19


Look up the uncorrected energy of the second one. -5.3585 eV per atom